# 1
DFT (PBE) results for PmNdPO after structural relaxation.

Total DFT energy (no corrections) in eV/cell: -54.29
Magnetization in μB/f.u.: 0.00

Structure (CIF):
```
data_PmNdPO
_chemical_formula_sum 'Pm2 Nd2 P2 O2'
_space_group_name_H-M_alt 'P 1'
_space_group_IT_number 1
_cell_length_a 4.396
_cell_length_b 4.396
_cell_length_c 9.019
_cell_angle_alpha 90.00
_cell_angle_beta 90.00
_cell_angle_gamma 90.00
loop_
_space_group_symop_operation_xyz
'x,y,z'
loop_
_atom_site_label
_atom_site_fract_x
_atom_site_fract_y
_atom_site_fract_z
_atom_site_occupancy
O1 0.500 0.500 0.000 1
O2 0.000 0.000 0.000 1
P1 0.000 0.500 0.703 1
P2 0.500 0.000 0.297 1
Nd1 0.000 0.000 0.500 1
Nd2 0.500 0.500 0.500 1
Pm1 0.500 0.000 0.896 1
Pm2 0.000 0.500 0.104 1
```

=====

# 2
DFT (PBE) results for PrNdPO after structural relaxation.

Total DFT energy (no corrections) in eV/cell: -55.20
Magnetization in μB/f.u.: 0.01

Structure (CIF):
```
data_PrNdPO
_chemical_formula_sum 'Pr2 Nd2 P2 O2'
_space_group_name_H-M_alt 'P 1'
_space_group_IT_number 1
_cell_length_a 4.336
_cell_length_b 7.856
_cell_length_c 5.919
_cell_angle_alpha 90.00
_cell_angle_beta 90.00
_cell_angle_gamma 90.00
loop_
_space_group_symop_operation_xyz
'x,y,z'
loop_
_atom_site_label
_atom_site_fract_x
_atom_site_fract_y
_atom_site_fract_z
_atom_site_occupancy
O1 0.500 0.329 0.385 1
O2 0.500 0.671 0.885 1
Pr1 0.000 0.197 0.439 1
Pr2 0.000 0.803 0.939 1
Nd1 0.500 0.623 0.492 1
Nd2 0.500 0.377 0.992 1
P1 0.000 0.163 0.938 1
P2 0.000 0.837 0.438 1
```

=====

# 3
DFT (PBE) results for PrNdPO after structural relaxation.

Total DFT energy (no corrections) in eV/cell: -54.13
Magnetization in μB/f.u.: 0.00

Structure (CIF):
```
data_PrNdPO
_chemical_formula_sum 'Pr2 Nd2 P2 O2'
_space_group_name_H-M_alt 'P 1'
_space_group_IT_number 1
_cell_length_a 4.429
_cell_length_b 4.429
_cell_length_c 9.130
_cell_angle_alpha 90.00
_cell_angle_beta 90.00
_cell_angle_gamma 90.00
loop_
_space_group_symop_operation_xyz
'x,y,z'
loop_
_atom_site_label
_atom_site_fract_x
_atom_site_fract_y
_atom_site_fract_z
_atom_site_occupancy
Pr1 0.000 0.000 0.500 1
Pr2 0.500 0.500 0.500 1
P1 0.000 0.500 0.703 1
P2 0.500 0.000 0.297 1
O1 0.000 0.000 0.000 1
O2 0.500 0.500 0.000 1
Nd1 0.000 0.500 0.105 1
Nd2 0.500 0.000 0.895 1
```

=====

# 4
DFT (PBE) results for PrNdPO after structural relaxation.

Total DFT energy (no corrections) in eV/cell: -54.32
Magnetization in μB/f.u.: 0.00

Structure (CIF):
```
data_PrNdPO
_chemical_formula_sum 'Pr2 Nd2 P2 O2'
_space_group_name_H-M_alt 'P 1'
_space_group_IT_number 1
_cell_length_a 4.427
_cell_length_b 4.427
_cell_length_c 9.159
_cell_angle_alpha 90.00
_cell_angle_beta 90.00
_cell_angle_gamma 90.00
loop_
_space_group_symop_operation_xyz
'x,y,z'
loop_
_atom_site_label
_atom_site_fract_x
_atom_site_fract_y
_atom_site_fract_z
_atom_site_occupancy
O1 0.000 0.000 0.000 1
O2 0.500 0.500 0.000 1
Nd1 0.500 0.500 0.500 1
Nd2 0.000 0.000 0.500 1
P1 0.500 0.000 0.302 1
P2 0.000 0.500 0.698 1
Pr1 0.500 0.000 0.891 1
Pr2 0.000 0.500 0.109 1
```

=====

# 5
DFT (PBE) results for PrNdP2Pt2O2 after structural relaxation.

Total DFT energy (no corrections) in eV/cell: -57.04
Magnetization in μB/f.u.: 0.03

Structure (CIF):
```
data_PrNdP2Pt2O2
_chemical_formula_sum 'Pr1 Nd1 P2 Pt2 O2'
_space_group_name_H-M_alt 'P 1'
_space_group_IT_number 1
_cell_length_a 4.174
_cell_length_b 4.174
_cell_length_c 8.012
_cell_angle_alpha 90.00
_cell_angle_beta 90.00
_cell_angle_gamma 90.00
loop_
_space_group_symop_operation_xyz
'x,y,z'
loop_
_atom_site_label
_atom_site_fract_x
_atom_site_fract_y
_atom_site_fract_z
_atom_site_occupancy
Pr1 0.500 0.500 0.858 1
O1 0.000 0.500 0.002 1
O2 0.500 0.000 0.002 1
Pt1 0.000 0.500 0.499 1
Pt2 0.500 0.000 0.499 1
P1 0.000 0.000 0.651 1
P2 0.500 0.500 0.348 1
Nd1 0.000 0.000 0.141 1
```

=====

# 6
DFT (PBE) results for NdPPtO after structural relaxation.

Total DFT energy (no corrections) in eV/cell: -54.46
Magnetization in μB/f.u.: 0.00

Structure (CIF):
```
data_NdPPtO
_chemical_formula_sum 'Nd2 P2 Pt2 O2'
_space_group_name_H-M_alt 'P 1'
_space_group_IT_number 1
_cell_length_a 4.690
_cell_length_b 4.142
_cell_length_c 7.079
_cell_angle_alpha 90.00
_cell_angle_beta 90.00
_cell_angle_gamma 90.00
loop_
_space_group_symop_operation_xyz
'x,y,z'
loop_
_atom_site_label
_atom_site_fract_x
_atom_site_fract_y
_atom_site_fract_z
_atom_site_occupancy
O1 0.500 0.743 0.938 1
O2 0.500 0.257 0.438 1
Nd1 0.500 0.243 0.102 1
Nd2 0.500 0.757 0.602 1
Pt1 0.000 0.260 0.439 1
Pt2 0.000 0.740 0.939 1
P1 0.000 0.759 0.275 1
P2 0.000 0.241 0.775 1
```

=====

# 7
DFT (PBE) results for NdPPtO after structural relaxation.

Total DFT energy (no corrections) in eV/cell: -51.30
Magnetization in μB/f.u.: 0.11

Structure (CIF):
```
data_NdPPtO
_chemical_formula_sum 'Nd2 P2 Pt2 O2'
_space_group_name_H-M_alt 'P 1'
_space_group_IT_number 1
_cell_length_a 6.231
_cell_length_b 6.231
_cell_length_c 4.409
_cell_angle_alpha 90.00
_cell_angle_beta 90.00
_cell_angle_gamma 90.00
loop_
_space_group_symop_operation_xyz
'x,y,z'
loop_
_atom_site_label
_atom_site_fract_x
_atom_site_fract_y
_atom_site_fract_z
_atom_site_occupancy
O1 0.000 0.000 0.000 1
O2 0.500 0.500 0.000 1
Pt1 0.000 0.500 0.486 1
Pt2 0.500 0.000 0.514 1
P1 0.000 0.500 0.986 1
P2 0.500 0.000 0.014 1
Nd1 0.500 0.500 0.500 1
Nd2 0.000 0.000 0.500 1
```

=====

# 8
DFT (PBE) results for NdPPtO after structural relaxation.

Total DFT energy (no corrections) in eV/cell: -50.00
Magnetization in μB/f.u.: 0.00

Structure (CIF):
```
data_NdPPtO
_chemical_formula_sum 'Nd2 P2 Pt2 O2'
_space_group_name_H-M_alt 'P 1'
_space_group_IT_number 1
_cell_length_a 5.972
_cell_length_b 5.972
_cell_length_c 4.497
_cell_angle_alpha 90.00
_cell_angle_beta 90.00
_cell_angle_gamma 90.00
loop_
_space_group_symop_operation_xyz
'x,y,z'
loop_
_atom_site_label
_atom_site_fract_x
_atom_site_fract_y
_atom_site_fract_z
_atom_site_occupancy
O1 0.250 0.750 0.000 1
O2 0.750 0.250 0.000 1
P1 0.250 0.250 0.499 1
P2 0.750 0.750 0.501 1
Nd1 0.250 0.750 0.500 1
Nd2 0.750 0.250 0.500 1
Pt1 0.250 0.250 0.999 1
Pt2 0.750 0.750 0.001 1
```